[1]
Density functional theory data (PBEsol) for a geometry-optimized Li3NiSb4O12 structure.

Lattice parameters (Å, degrees): 5.1744 5.5078 7.5541 94.72 90.03 90.12
Sites, in units of the cell vectors:
1 O 0.6992 0.7892 0.0903
2 O 0.8051 0.2917 0.0908
3 Sb 0.9965 0.9986 0.5002
4 Sb 0.0002 0.9939 0.0087
5 O 0.8642 0.9498 0.7584
6 Ni 0.0012 0.5948 0.7063
7 Sb 0.5034 0.4880 0.0060
8 O 0.3308 0.1571 0.9500
9 O 0.1398 0.9624 0.2549
10 Sb 0.4995 0.4850 0.5014
11 O 0.8365 0.6505 0.4575
12 Li 0.4995 0.0535 0.7230
13 O 0.1708 0.6562 0.9449
14 Li 0.9998 0.5655 0.2166
15 O 0.3617 0.4660 0.2548
16 O 0.2990 0.7861 0.5908
17 O 0.6489 0.4595 0.7569
18 O 0.6562 0.1487 0.4519
19 O 0.1865 0.3024 0.5936
20 Li 0.5013 0.0602 0.2133

## Properties
raw formation energy	-1.5233	eV/atom

=====

[2]
Density functional theory data (PBEsol) for a geometry-optimized Li2CaPd2 structure.

Lattice parameters (Å, degrees): 3.8709 3.8709 6.6150 107.01 107.01 90.00
Sites, in units of the cell vectors:
1 Pd 0.3911 0.3911 0.7822
2 Pd 0.6089 0.6089 0.2178
3 Li 0.7500 0.2500 0.5000
4 Li 0.2500 0.7500 0.5000
5 Ca 0.0000 0.0000 0.0000

## Properties
DFT formation energy	-0.36	eV per atom
excess energy over the best structure of this formula in the dataset	0.0000	eV/atom

=====

[3]
Density functional theory data (PBEsol) for a geometry-optimized YNbTe2O8 structure.

Lattice parameters (Å, degrees): 5.5098 5.5098 21.6728 90.00 90.00 92.80
Sites, in units of the cell vectors:
1 O 0.9514 0.4352 0.4420
2 O 0.9712 0.0288 0.7736
3 O 0.7272 0.6426 0.1593
4 Te 0.3131 0.6869 0.8712
5 Te 0.6932 0.3068 0.3911
6 Te 0.8131 0.1869 0.6288
7 O 0.5288 0.4712 0.2736
8 O 0.7728 0.8574 0.6593
9 O 0.0740 0.9260 0.4469
10 Te 0.1869 0.8131 0.3712
11 Y 0.7518 0.7518 0.5000
12 O 0.5268 0.9732 0.2500
13 O 0.4514 0.9352 0.0580
14 O 0.0163 0.9837 0.9348
15 O 0.4260 0.5740 0.9469
16 O 0.9352 0.4514 0.9420
17 O 0.6426 0.7272 0.8407
18 Y 0.7482 0.7482 0.0000
19 O 0.5163 0.4837 0.5652
20 Te 0.6869 0.3131 0.1288
21 O 0.9732 0.5268 0.7500
22 O 0.9837 0.0163 0.0652
23 O 0.4352 0.9514 0.5580
24 O 0.5740 0.4260 0.0531
25 Nb 0.2428 0.2572 0.7500
26 O 0.3574 0.2728 0.1593
27 O 0.5648 0.0486 0.4420
28 O 0.0288 0.9712 0.2264
29 Nb 0.7572 0.7428 0.2500
30 Nb 0.2572 0.2428 0.2500
31 O 0.2272 0.1426 0.3407
32 O 0.9260 0.0740 0.5531
33 O 0.0648 0.5486 0.0580
34 O 0.8574 0.7728 0.3407
35 Nb 0.7428 0.7572 0.7500
36 O 0.1426 0.2272 0.6593
37 Y 0.2518 0.2518 0.0000
38 O 0.5486 0.0648 0.9420
39 Te 0.3068 0.6932 0.6089
40 O 0.0268 0.4732 0.2500
41 O 0.2728 0.3574 0.8407
42 O 0.0486 0.5648 0.5580
43 Te 0.1932 0.8068 0.1089
44 O 0.4837 0.5163 0.4348
45 O 0.4712 0.5288 0.7264
46 Te 0.8068 0.1932 0.8911
47 O 0.4732 0.0268 0.7500
48 Y 0.2482 0.2482 0.5000

## Properties
raw formation energy	-2.0820	eV/atom